{
  "formula": "AlTePt",
  "functional": "PBE",
  "state": "optimized geometry",
  "formation_energy_uncorrected_kj_per_mol_atoms": -33.2,
  "e_above_lowest_polymorph_mev_per_atom": 127.3,
  "vol_a3_per_cell": 64.2,
  "magmom_total_mub_per_atom": 0.000,
  "space_group": "P3m1",
  "dos_at_fermi_per_ev_fu": 1.71,
  "lattice": [[-3.3821, -0.6962, 1.7216], [0.3904, -0.5858, -3.7936], [1.4097, -4.6964, 0.8702]],
  "species": ["Al", "Te", "Pt"],
  "frac_coords": [[0.0000, 0.0000, 0.0691], [0.6667, 0.3333, 0.6312], [0.3333, 0.6667, 0.2997]]
}